Record 1
Below is Te3Pb at its PBEsol-relaxed geometry, with properties calculated at the meta-GGA SCAN level.

mass density	8.32	g/cm3
formation energy without anion corrections	14.2	kJ per mole of atoms
E_tot	-46.74	eV per atom

abc: 3.185 3.185 11.917
angles: 90.00 90.00 103.09
Fractional coordinates of all 4 atoms:
Pb 0.000 0.000 0.000
Te 0.500 0.500 0.776
Te 0.000 0.000 0.500
Te 0.500 0.500 0.224

Record 2
Below is FeCu2Pt at its PBEsol-relaxed geometry, with properties calculated at the meta-GGA SCAN level.

energy of formation from the pure elements	-0.128	eV per atom
mass density	12.72	g/cm3
E_tot	-29.81	eV per atom

abc: 2.664 2.664 6.955
angles: 90.00 90.00 90.00
Fractional coordinates of all 4 atoms:
Cu 0.000 0.000 0.015
Cu 0.500 0.500 0.248
Pt 0.500 0.500 0.748
Fe 0.000 0.000 0.488

Record 3
Below is Al2CoCu at its PBEsol-relaxed geometry, with properties calculated at the meta-GGA SCAN level.

energy of formation from the pure elements	-0.358	eV per atom
mass density	6.04	g/cm3
E_tot	-12.36	eV per atom

abc: 3.511 3.511 4.656
angles: 112.15 112.15 90.00
Fractional coordinates of all 4 atoms:
Co 0.500 0.500 0.000
Al 0.000 0.000 0.000
Al 0.750 0.250 0.500
Cu 0.250 0.750 0.500

Record 4
Below is Y2TcHg at its PBEsol-relaxed geometry, with properties calculated at the meta-GGA SCAN level.

energy of formation from the pure elements	0.044	eV per atom
mass density	8.76	g/cm3
E_tot	-39.68	eV per atom

abc: 3.822 3.822 6.185
angles: 90.00 90.00 90.00
Fractional coordinates of all 4 atoms:
Hg 0.000 0.000 0.490
Tc 0.500 0.500 0.780
Y 0.000 0.000 0.948
Y 0.500 0.500 0.282

Record 5
Below is CoB2O4 at its PBEsol-relaxed geometry, with properties calculated at the meta-GGA SCAN level.

mass density	4.49	g/cm3
formation energy without anion corrections	-211.2	kJ per mole of atoms
E_tot	-10.34	eV per atom

abc: 4.383 5.421 5.421
angles: 119.37 105.12 74.88
Fractional coordinates of all 14 atoms:
Co 0.750 0.378 0.378
Co 0.250 0.622 0.622
B 0.131 0.288 0.924
B 0.369 0.924 0.288
B 0.869 0.712 0.076
B 0.631 0.076 0.712
O 0.487 0.204 0.498
O 0.013 0.498 0.204
O 0.513 0.796 0.502
O 0.987 0.502 0.796
O 0.474 0.230 0.961
O 0.026 0.961 0.230
O 0.526 0.770 0.039
O 0.974 0.039 0.770

Record 6
Below is TiCrBr2 at its PBEsol-relaxed geometry, with properties calculated at the meta-GGA SCAN level.

excess energy over the best structure of this formula in the dataset	26.0	kJ/mol of atoms
mass density	6.30	g/cm3
formation energy without anion corrections	-2.9	kJ per mole of atoms
E_tot	-18.36	eV per atom

abc: 4.592 4.592 4.592
angles: 60.00 60.00 60.00
Fractional coordinates of all 4 atoms:
Cr 0.500 0.500 0.500
Br 0.250 0.250 0.250
Br 0.750 0.750 0.750
Ti 0.000 0.000 0.000